PBEsol NaSr2Ni2, relaxed; space group = I4/mmm (139); energy = -3.145 eV/atom
1.0
-2.812 2.812 4.184
2.812 -2.812 4.184
2.812 2.812 -4.184
Na Sr Ni
1 2 2
direct
0.000 0.000 0.000
0.250 0.750 0.500
0.750 0.250 0.500
0.364 0.364 0.000
0.636 0.636 0.000

***

PBEsol CdRh2, relaxed; space group = I4/mmm (139); energy = -5.821 eV/atom
1.0
-1.391 1.391 5.863
1.391 -1.391 5.863
1.391 1.391 -5.863
Cd Rh
1 2
direct
0.000 0.000 0.000
0.322 0.322 0.000
0.678 0.678 0.000